(1)
TaCdRe2: PBEsol geometry, SCAN.

Cell and atoms, written as POSCAR:
```
TaCdRe2
1.0
-1.577 2.288 4.525
1.577 -2.288 4.525
1.577 2.288 -4.525
Ta Cd Re
1 1 2
Cartesian
0.000 0.000 0.000
0.000 0.000 4.525
1.577 0.000 2.132
0.000 2.288 2.393
```

Values from the calculation:
- density of states at the Fermi level (states/eV per atom) = 0.614
- E (eV per atom) = -59.482
- calculated volume (Å³/f.u.) = 65
- formation energy from the elements (kJ/mol of formula units) = 122.0
- space group = No. 71

=====

(2)
CdReTc2: PBEsol geometry, SCAN.

Cell and atoms, written as POSCAR:
```
CdReTc2
1.0
-1.504 2.255 4.510
1.504 -2.255 4.510
1.504 2.255 -4.510
Cd Re Tc
1 1 2
Cartesian
0.000 0.000 0.000
1.504 0.000 2.413
0.000 0.000 4.501
0.000 2.255 2.113
```

Values from the calculation:
- density of states at the Fermi level (states/eV per atom) = 0.812
- E (eV per atom) = -42.473
- calculated volume (Å³/f.u.) = 61
- formation energy from the elements (kJ/mol of formula units) = 167.9
- space group = No. 44

=====

(3)
CdRe2Tc: PBEsol geometry, SCAN.

Cell and atoms, written as POSCAR:
```
CdRe2Tc
1.0
1.460 -2.277 0.000
1.460 2.277 0.000
0.000 0.000 9.374
Cd Re Tc
1 2 1
Cartesian
0.000 0.000 0.000
0.000 0.000 4.734
1.460 0.000 2.531
1.460 0.000 6.898
```

Values from the calculation:
- density of states at the Fermi level (states/eV per atom) = 0.766
- E (eV per atom) = -51.544
- calculated volume (Å³/f.u.) = 62
- formation energy from the elements (kJ/mol of formula units) = 144.0
- space group = No. 35

=====

(4)
CdReTc2: PBEsol geometry, SCAN.

Cell and atoms, written as POSCAR:
```
CdReTc2
1.0
0.000 3.123 3.123
3.123 0.000 3.123
3.123 3.123 0.000
Cd Re Tc
1 1 2
Cartesian
0.000 0.000 0.000
4.685 4.685 4.685
1.562 1.562 1.562
3.123 3.123 3.123
```

Values from the calculation:
- density of states at the Fermi level (states/eV per atom) = 0.930
- E (eV per atom) = -42.287
- calculated volume (Å³/f.u.) = 61
- formation energy from the elements (kJ/mol of formula units) = 239.8
- space group = No. 216

=====

(5)
Cd2ReTc: PBEsol geometry, SCAN.

Cell and atoms, written as POSCAR:
```
Cd2ReTc
1.0
1.589 -2.190 0.000
1.589 2.190 0.000
0.000 0.000 9.431
Cd Re Tc
2 1 1
Cartesian
0.000 0.000 2.334
0.000 0.000 7.097
1.589 0.000 4.715
1.589 0.000 0.000
```

Values from the calculation:
- density of states at the Fermi level (states/eV per atom) = 0.636
- E (eV per atom) = -41.149
- calculated volume (Å³/f.u.) = 66
- formation energy from the elements (kJ/mol of formula units) = 230.6
- space group = No. 65

=====

(6)
CdRe2Tc: PBEsol geometry, SCAN.

Cell and atoms, written as POSCAR:
```
CdRe2Tc
1.0
2.702 -4.532 0.000
2.702 4.532 0.000
-0.897 0.000 2.513
Cd Re Tc
1 2 1
Cartesian
0.000 0.000 0.000
0.902 2.266 1.257
0.902 -2.266 1.257
2.702 0.000 0.000
```

Values from the calculation:
- density of states at the Fermi level (states/eV per atom) = 1.069
- E (eV per atom) = -51.296
- calculated volume (Å³/f.u.) = 62
- formation energy from the elements (kJ/mol of formula units) = 239.7
- space group = No. 12

=====

(7)
CdReTe2: PBEsol geometry, SCAN.

Cell and atoms, written as POSCAR:
```
CdReTe2
1.0
-1.596 2.186 6.650
1.596 -2.186 6.650
1.596 2.186 -6.650
Cd Re Te
1 1 2
Cartesian
0.000 0.000 0.000
1.596 0.000 2.786
0.000 0.000 4.908
0.000 2.186 2.075
```

Values from the calculation:
- density of states at the Fermi level (states/eV per atom) = 0.597
- E (eV per atom) = -43.518
- calculated volume (Å³/f.u.) = 93
- uncorrected formation energy (meV per atom) = 486
- space group = No. 44

=====

(8)
CdReTe2: PBEsol geometry, SCAN.

Cell and atoms, written as POSCAR:
```
CdReTe2
1.0
4.728 0.000 0.000
0.000 3.121 0.000
-2.357 0.000 6.678
Cd Re Te
1 1 2
Cartesian
0.000 0.000 0.000
2.364 1.560 0.308
0.004 1.560 4.362
2.366 0.000 2.377
```

Values from the calculation:
- density of states at the Fermi level (states/eV per atom) = 0.496
- E (eV per atom) = -43.613
- calculated volume (Å³/f.u.) = 99
- uncorrected formation energy (meV per atom) = 391
- space group = No. 6